1.
DFT (PBE) results for an optimized crystal structure of InRe2Ni.

Summary:
ΔH_f (0 K) (eV/atom): 0.512
Symmetry: P4/mmm, No. 123

Cell: 2.7776 2.7776 7.9413 Å, 90.00 90.00 90.05°
Sites, in units of the cell vectors:
In1 0.5000 0.5000 0.2500
Ni1 0.5000 0.5000 0.7500
Re1 0.0000 0.0000 0.9659
Re2 0.0000 0.0000 0.5341



2.
DFT (PBE) results for an optimized crystal structure of BaMg3Ag.

Summary:
ΔH_f (0 K) (eV/atom): 1.140
Distance to the lowest polymorph of the same formula (meV per atom): 1259
Symmetry: Pm-3m, No. 221

Cell: 6.7538 6.7538 6.7538 Å, 90.00 90.00 90.00°
Sites, in units of the cell vectors:
Mg1 0.0000 0.5000 0.0000
Mg2 0.0000 0.0000 0.5000
Mg3 0.5000 0.0000 0.0000
Ba1 0.0000 0.0000 0.0000
Ag1 0.5000 0.5000 0.5000